No. 1
This record from Alexandria describes a PBEsol-optimized structure of Mn3BeO. The functional is SCAN.

```
Mn3BeO
1.0
3.666 0.000 0.000
0.000 3.666 0.000
0.000 0.000 3.666
Mn Be O
3 1 1
Cartesian
0.000 0.000 1.833
0.000 1.833 0.000
1.833 0.000 0.000
1.833 1.833 1.833
0.000 0.000 0.000
```

Values from the calculation:
VASP energy: -67.00 eV/f.u.
calculated density: 6.40 Mg/m³
space group: No. 221

=====

No. 2
This record from Alexandria describes a PBEsol-optimized structure of CaHg2Os. The functional is SCAN.

```
CaHg2Os
1.0
2.989 0.000 0.000
0.000 4.368 0.000
0.000 0.000 5.971
Ca Hg Os
1 2 1
Cartesian
0.000 0.000 0.000
0.000 0.000 3.147
1.495 2.184 1.558
1.495 2.184 4.435
```

Values from the calculation:
VASP energy: -216.30 eV/f.u.
ΔH_f (0 K): 394 meV per atom
calculated density: 13.45 Mg/m³
space group: No. 25